Record 1
Computed, not measured: ZrIr2Rh at its PBEsol-relaxed geometry at the meta-GGA SCAN level of DFT.

a = 3.938 Å, b = 3.938 Å, c = 4.809 Å
α = 114.17°, β = 114.17°, γ = 90.00°
Fractional positions:
Ir 0.500 0.500 0.000
Ir 0.750 0.250 0.500
Rh 0.000 0.000 0.000
Zr 0.250 0.750 0.500

## Properties
Fermi-level density of states = 2.424 states/eV/cell
DFT formation energy = -0.682 eV per atom
Magnetic moment = 0.000 μB/f.u.


Record 2
Computed, not measured: YMn2Al at its PBEsol-relaxed geometry at the meta-GGA SCAN level of DFT.

a = 3.277 Å, b = 4.607 Å, c = 5.045 Å
α = 104.60°, β = 90.00°, γ = 110.83°
Fractional positions:
Y 0.000 0.000 0.500
Mn 0.759 0.517 0.873
Mn 0.241 0.483 0.127
Al 0.500 0.000 0.000

## Properties
Fermi-level density of states = 2.399 states/eV/cell
DFT formation energy = 0.134 eV per atom
Magnetic moment = 0.000 μB/f.u.


Record 3
Computed, not measured: Li7Mn2Co3O12 at its PBEsol-relaxed geometry at the meta-GGA SCAN level of DFT.

a = 5.586 Å, b = 6.324 Å, c = 6.351 Å
α = 72.02°, β = 63.83°, γ = 77.72°
Last column: magnetic moment on the atom in μB.
Fractional positions:
Li 0.500 0.000 0.500  0.00
Li 0.242 0.001 0.996  0.00
Li 0.758 0.999 0.004  0.00
Li 0.581 0.324 0.658  0.00
Li 0.419 0.676 0.342  0.00
Li 0.905 0.687 0.329  0.00
Li 0.095 0.313 0.671  0.00
Mn 0.666 0.676 0.827  2.71
Mn 0.334 0.324 0.173  2.71
Co 0.000 0.000 0.500  0.06
Co 0.169 0.669 0.831  0.03
Co 0.831 0.331 0.169  0.03
O 0.644 0.983 0.747  0.07
O 0.356 0.017 0.253  0.07
O 0.970 0.319 0.400  0.02
O 0.030 0.681 0.600  0.02
O 0.303 0.653 0.065  0.02
O 0.697 0.347 0.935  0.02
O 0.123 0.982 0.741  0.01
O 0.877 0.018 0.259  0.01
O 0.463 0.340 0.392  0.05
O 0.537 0.660 0.608  0.05
O 0.805 0.652 0.066  0.01
O 0.195 0.348 0.934  0.01

## Properties
ΔE_f (raw) = -2.07 eV/atom
Magnetic moment = 6.035 μB/f.u.


Record 4
Computed, not measured: LiSn2Ru2 at its PBEsol-relaxed geometry at the meta-GGA SCAN level of DFT.

a = 3.065 Å, b = 7.507 Å, c = 7.507 Å
α = 90.00°, β = 90.00°, γ = 90.00°
Fractional positions:
Ru 0.500 0.143 0.643
Ru 0.500 0.643 0.857
Ru 0.500 0.857 0.357
Ru 0.500 0.357 0.143
Sn 0.000 0.347 0.847
Sn 0.000 0.847 0.653
Sn 0.000 0.653 0.153
Sn 0.000 0.153 0.347
Li 0.000 0.000 0.000
Li 0.000 0.500 0.500

## Properties
Fermi-level density of states = 4.282 states/eV/cell
DFT formation energy = -0.114 eV per atom
Magnetic moment = 0.000 μB/f.u.


Record 5
Computed, not measured: HfCoAsBr2 at its PBEsol-relaxed geometry at the meta-GGA SCAN level of DFT.

a = 5.064 Å, b = 5.064 Å, c = 5.275 Å
α = 90.00°, β = 90.00°, γ = 90.00°
Last column: magnetic moment on the atom in μB.
Fractional positions:
Co 0.500 0.500 0.500  2.70
As 0.000 0.000 0.500  -0.07
Hf 0.000 0.000 0.000  0.09
Br 0.000 0.500 0.000  0.01
Br 0.500 0.000 0.000  0.01

## Properties
ΔE_f (raw) = 0.21 eV/atom
Fermi-level density of states = 4.964 states/eV/cell
Magnetic moment = 3.036 μB/f.u.


Record 6
Computed, not measured: Ga3Sn at its PBEsol-relaxed geometry at the meta-GGA SCAN level of DFT.

a = 4.528 Å, b = 5.047 Å, c = 4.528 Å
α = 116.65°, β = 90.00°, γ = 116.65°
Fractional positions:
Sn 0.000 0.000 0.000
Ga 0.250 0.500 0.750
Ga 0.750 0.500 0.250
Ga 0.500 0.000 0.500

## Properties
Fermi-level density of states = 1.627 states/eV/cell
DFT formation energy = 0.189 eV per atom
Magnetic moment = 0.000 μB/f.u.


Record 7
Computed, not measured: Zn2Au at its PBEsol-relaxed geometry at the meta-GGA SCAN level of DFT.

a = 2.753 Å, b = 4.338 Å, c = 4.338 Å
α = 120.00°, β = 90.00°, γ = 90.00°
Fractional positions:
Zn 0.653 0.667 0.333
Zn 0.347 0.333 0.667
Au 0.000 0.000 0.000

## Properties
Fermi-level density of states = 0.686 states/eV/cell
DFT formation energy = -0.119 eV per atom
Magnetic moment = 0.000 μB/f.u.


Record 8
Computed, not measured: SbIr2F at its PBEsol-relaxed geometry at the meta-GGA SCAN level of DFT.

a = 4.339 Å, b = 4.339 Å, c = 4.339 Å
α = 60.00°, β = 60.00°, γ = 60.00°
Fractional positions:
Sb 0.500 0.500 0.500
Ir 0.250 0.250 0.250
Ir 0.750 0.750 0.750
F 0.000 0.000 0.000

## Properties
ΔE_f (raw) = 0.01 eV/atom
Fermi-level density of states = 1.797 states/eV/cell
Magnetic moment = 0.000 μB/f.u.


Record 9
Computed, not measured: Pr3Nd at its PBEsol-relaxed geometry at the meta-GGA SCAN level of DFT.

a = 5.124 Å, b = 5.124 Å, c = 6.275 Å
α = 114.10°, β = 114.10°, γ = 90.00°
Fractional positions:
Pr 0.250 0.750 0.500
Pr 0.750 0.250 0.500
Pr 0.500 0.500 0.000
Nd 0.000 0.000 0.000

## Properties
Fermi-level density of states = 6.038 states/eV/cell
DFT formation energy = 0.009 eV per atom
Magnetic moment = 0.010 μB/f.u.


Record 10
Computed, not measured: Y2CuPd2 at its PBEsol-relaxed geometry at the meta-GGA SCAN level of DFT.

a = 3.820 Å, b = 7.225 Å, c = 7.225 Å
α = 90.00°, β = 90.00°, γ = 90.00°
Fractional positions:
Y 0.500 0.173 0.673
Y 0.500 0.673 0.827
Y 0.500 0.827 0.327
Y 0.500 0.327 0.173
Cu 0.000 0.000 0.000
Cu 0.000 0.500 0.500
Pd 0.000 0.366 0.866
Pd 0.000 0.866 0.634
Pd 0.000 0.634 0.134
Pd 0.000 0.134 0.366

## Properties
Fermi-level density of states = 5.913 states/eV/cell
DFT formation energy = -0.702 eV per atom
Magnetic moment = 0.000 μB/f.u.


Record 11
Computed, not measured: Li2MnOF3 at its PBEsol-relaxed geometry at the meta-GGA SCAN level of DFT.

a = 2.996 Å, b = 5.012 Å, c = 10.029 Å
α = 100.80°, β = 93.33°, γ = 103.83°
Last column: magnetic moment on the atom in μB.
Fractional positions:
Li 0.000 0.000 0.000  0.00
Li 0.000 0.000 0.500  0.00
Li 0.787 0.546 0.613  0.00
Li 0.213 0.454 0.387  0.00
Mn 0.743 0.517 0.127  3.71
Mn 0.257 0.483 0.873  3.71
O 0.610 0.277 0.951  0.08
O 0.390 0.723 0.049  0.08
F 0.636 0.255 0.451  0.00
F 0.364 0.745 0.549  0.00
F 0.816 0.701 0.308  0.04
F 0.184 0.299 0.692  0.04
F 0.920 0.733 0.819  0.06
F 0.080 0.267 0.181  0.06

## Properties
ΔE_f (raw) = -2.78 eV/atom
Fermi-level density of states = 0.000 states/eV/cell
Magnetic moment = 4.000 μB/f.u.


Record 12
Computed, not measured: AgHgRh2 at its PBEsol-relaxed geometry at the meta-GGA SCAN level of DFT.

a = 2.853 Å, b = 4.695 Å, c = 4.707 Å
α = 90.00°, β = 90.00°, γ = 90.00°
Fractional positions:
Ag 0.500 0.500 0.000
Hg 0.000 0.500 0.500
Rh 0.000 0.000 0.000
Rh 0.500 0.000 0.500

## Properties
Fermi-level density of states = 4.331 states/eV/cell
DFT formation energy = 0.301 eV per atom
Magnetic moment = 0.002 μB/f.u.


Record 13
Computed, not measured: Ba2SrMnF at its PBEsol-relaxed geometry at the meta-GGA SCAN level of DFT.

a = 4.899 Å, b = 6.659 Å, c = 6.659 Å
α = 90.00°, β = 90.00°, γ = 90.00°
Last column: magnetic moment on the atom in μB.
Fractional positions:
Sr 0.000 0.000 0.000  -0.37
Mn 0.500 0.000 0.000  3.76
Ba 0.000 0.000 0.500  -0.27
Ba 0.000 0.500 0.000  -0.27
F 0.500 0.500 0.500  -0.02

## Properties
ΔE_f (raw) = 0.33 eV/atom
Fermi-level density of states = 4.025 states/eV/cell
Magnetic moment = 0.966 μB/f.u.


Record 14
Computed, not measured: Cs3CaPt at its PBEsol-relaxed geometry at the meta-GGA SCAN level of DFT.

a = 6.596 Å, b = 6.596 Å, c = 6.596 Å
α = 90.00°, β = 90.00°, γ = 90.00°
Last column: magnetic moment on the atom in μB.
Fractional positions:
Cs 0.000 0.500 0.000  0.02
Cs 0.000 0.000 0.500  0.02
Cs 0.500 0.000 0.000  0.02
Ca 0.500 0.500 0.500  0.06
Pt 0.000 0.000 0.000  0.00

## Properties
Fermi-level density of states = 3.304 states/eV/cell
DFT formation energy = 0.225 eV per atom
Magnetic moment = 1.012 μB/f.u.


Record 15
Computed, not measured: KFeRe2 at its PBEsol-relaxed geometry at the meta-GGA SCAN level of DFT.

a = 2.705 Å, b = 3.843 Å, c = 7.669 Å
α = 90.00°, β = 90.00°, γ = 90.00°
Last column: magnetic moment on the atom in μB.
Fractional positions:
Fe 0.000 0.000 0.405  2.80
K 0.500 0.500 0.741  0.00
Re 0.000 0.000 0.100  0.06
Re 0.500 0.500 0.254  -0.09

## Properties
Fermi-level density of states = 3.482 states/eV/cell
DFT formation energy = 0.786 eV per atom
Magnetic moment = 2.817 μB/f.u.


Record 16
Computed, not measured: KNi2Cl at its PBEsol-relaxed geometry at the meta-GGA SCAN level of DFT.

a = 3.175 Å, b = 3.175 Å, c = 7.083 Å
α = 90.00°, β = 90.00°, γ = 90.00°
Last column: magnetic moment on the atom in μB.
Fractional positions:
Ni 0.000 0.000 0.097  0.81
Ni 0.500 0.500 0.205  0.88
K 0.500 0.500 0.739  -0.01
Cl 0.000 0.000 0.459  0.02

## Properties
ΔE_f (raw) = -0.01 eV/atom
Fermi-level density of states = 2.936 states/eV/cell
Magnetic moment = 1.582 μB/f.u.


Record 17
Computed, not measured: YNi2Se at its PBEsol-relaxed geometry at the meta-GGA SCAN level of DFT.

a = 3.972 Å, b = 3.972 Å, c = 5.255 Å
α = 67.80°, β = 67.80°, γ = 60.00°
Fractional positions:
Ni 0.208 0.208 0.377
Ni 0.792 0.792 0.623
Se 0.500 0.500 0.500
Y 0.000 0.000 0.000

## Properties
ΔE_f (raw) = -0.46 eV/atom
Fermi-level density of states = 2.679 states/eV/cell
Magnetic moment = 0.000 μB/f.u.


Record 18
Computed, not measured: CsMg3Zr at its PBEsol-relaxed geometry at the meta-GGA SCAN level of DFT.

a = 5.869 Å, b = 5.869 Å, c = 5.869 Å
α = 90.00°, β = 90.00°, γ = 90.00°
Last column: magnetic moment on the atom in μB.
Fractional positions:
Cs 0.500 0.500 0.500  0.03
Mg 0.000 0.500 0.000  0.05
Mg 0.000 0.000 0.500  0.05
Mg 0.500 0.000 0.000  0.05
Zr 0.000 0.000 0.000  1.65

## Properties
Fermi-level density of states = 5.079 states/eV/cell
DFT formation energy = 0.743 eV per atom
Magnetic moment = 4.454 μB/f.u.


Record 19
Computed, not measured: BeMoCl2 at its PBEsol-relaxed geometry at the meta-GGA SCAN level of DFT.

a = 4.234 Å, b = 4.265 Å, c = 4.234 Å
α = 119.76°, β = 90.00°, γ = 119.76°
Last column: magnetic moment on the atom in μB.
Fractional positions:
Be 0.000 0.000 0.000  0.02
Mo 0.500 0.000 0.500  0.87
Cl 0.750 0.500 0.250  -0.01
Cl 0.250 0.500 0.750  -0.01

## Properties
ΔE_f (raw) = 0.73 eV/atom
Fermi-level density of states = 2.074 states/eV/cell
Magnetic moment = 1.024 μB/f.u.


Record 20
Computed, not measured: Cu2PPt at its PBEsol-relaxed geometry at the meta-GGA SCAN level of DFT.

a = 2.789 Å, b = 3.805 Å, c = 4.887 Å
α = 90.00°, β = 99.02°, γ = 90.00°
Fractional positions:
Cu 0.119 0.000 0.766
Cu 0.881 0.000 0.234
P 0.500 0.500 0.000
Pt 0.500 0.500 0.500

## Properties
Fermi-level density of states = 1.553 states/eV/cell
DFT formation energy = -0.046 eV per atom
Magnetic moment = 0.000 μB/f.u.


Record 21
Computed, not measured: V4O7F5 at its PBEsol-relaxed geometry at the meta-GGA SCAN level of DFT.

a = 5.240 Å, b = 5.320 Å, c = 7.033 Å
α = 91.72°, β = 90.00°, γ = 90.00°
Last column: magnetic moment on the atom in μB.
Fractional positions:
V 0.533 0.538 0.256  0.55
V 0.533 0.462 0.744  0.55
V 0.020 0.048 0.254  0.07
V 0.020 0.952 0.746  0.07
O 0.935 0.000 0.500  -0.01
O 0.778 0.709 0.212  -0.06
O 0.778 0.291 0.788  -0.06
O 0.567 0.500 0.500  -0.09
O 0.204 0.710 0.716  -0.01
O 0.204 0.290 0.284  -0.01
O 0.049 0.000 0.000  -0.01
F 0.701 0.783 0.792  0.00
F 0.701 0.217 0.208  0.00
F 0.402 0.500 0.000  0.01
F 0.288 0.797 0.288  0.00
F 0.288 0.203 0.712  0.00

## Properties
ΔE_f (raw) = -2.66 eV/atom
Fermi-level density of states = 1.607 states/eV/cell
Magnetic moment = 1.026 μB/f.u.


Record 22
Computed, not measured: InPbIO2 at its PBEsol-relaxed geometry at the meta-GGA SCAN level of DFT.

a = 4.348 Å, b = 4.348 Å, c = 6.235 Å
α = 90.00°, β = 90.00°, γ = 90.00°
Fractional positions:
Pb 0.000 0.000 0.000
I 0.000 0.000 0.500
O 0.000 0.500 0.000
O 0.500 0.000 0.000
In 0.500 0.500 0.500

## Properties
ΔE_f (raw) = -0.20 eV/atom
Fermi-level density of states = 1.501 states/eV/cell
Magnetic moment = 0.003 μB/f.u.


Record 23
Computed, not measured: Na2NbSbAu at its PBEsol-relaxed geometry at the meta-GGA SCAN level of DFT.

a = 5.221 Å, b = 5.824 Å, c = 5.824 Å
α = 90.00°, β = 90.00°, γ = 90.00°
Last column: magnetic moment on the atom in μB.
Fractional positions:
Sb 0.500 0.000 0.000  -0.18
Nb 0.000 0.000 0.000  2.47
Au 0.500 0.500 0.500  0.00
Na 0.000 0.000 0.500  0.05
Na 0.000 0.500 0.000  0.05

## Properties
ΔE_f (raw) = 0.88 eV/atom
Fermi-level density of states = 2.012 states/eV/cell
Magnetic moment = 3.392 μB/f.u.


Record 24
Computed, not measured: K2FeCl at its PBEsol-relaxed geometry at the meta-GGA SCAN level of DFT.

a = 4.490 Å, b = 4.490 Å, c = 7.137 Å
α = 108.34°, β = 108.34°, γ = 90.00°
Last column: magnetic moment on the atom in μB.
Fractional positions:
K 0.000 0.000 0.000  -0.01
K 0.750 0.250 0.500  -0.02
Fe 0.250 0.750 0.500  3.14
Cl 0.500 0.500 0.000  0.00

## Properties
ΔE_f (raw) = -0.11 eV/atom
Fermi-level density of states = 4.670 states/eV/cell
Magnetic moment = 3.002 μB/f.u.


Record 25
Computed, not measured: SnCSe3 at its PBEsol-relaxed geometry at the meta-GGA SCAN level of DFT.

a = 4.471 Å, b = 4.471 Å, c = 4.471 Å
α = 90.00°, β = 90.00°, γ = 90.00°
Fractional positions:
C 0.000 0.000 0.000
Sn 0.500 0.500 0.500
Se 0.000 0.500 0.000
Se 0.000 0.000 0.500
Se 0.500 0.000 0.000

## Properties
ΔE_f (raw) = 0.91 eV/atom
Fermi-level density of states = 2.873 states/eV/cell
Magnetic moment = 0.000 μB/f.u.


Record 26
Computed, not measured: TaSiSb2I at its PBEsol-relaxed geometry at the meta-GGA SCAN level of DFT.

a = 5.352 Å, b = 5.352 Å, c = 5.286 Å
α = 90.00°, β = 90.00°, γ = 90.00°
Last column: magnetic moment on the atom in μB.
Fractional positions:
I 0.000 0.000 0.500  0.01
Sb 0.000 0.500 0.000  -0.02
Sb 0.500 0.000 0.000  -0.02
Si 0.500 0.500 0.500  0.32
Ta 0.000 0.000 0.000  0.15

## Properties
ΔE_f (raw) = 1.02 eV/atom
Fermi-level density of states = 4.469 states/eV/cell
Magnetic moment = 1.175 μB/f.u.


Record 27
Computed, not measured: AlCdOs at its PBEsol-relaxed geometry at the meta-GGA SCAN level of DFT.

a = 2.800 Å, b = 3.770 Å, c = 5.181 Å
α = 111.34°, β = 105.68°, γ = 90.00°
Fractional positions:
Os 0.361 0.361 0.722
Al 0.969 0.969 0.938
Cd 0.670 0.670 0.340

## Properties
Fermi-level density of states = 1.699 states/eV/cell
DFT formation energy = 0.111 eV per atom
Magnetic moment = 0.000 μB/f.u.